A relaxed structure of AsPBr2. Source: Alexandria, functional PBE.

CIF file:
```
data_AsPBr2
_chemical_formula_sum 'As1 P1 Br2'
_space_group_name_H-M_alt 'P m m m'
_space_group_IT_number 47
_cell_length_a 3.367
_cell_length_b 4.447
_cell_length_c 6.008
_cell_angle_alpha 90.00
_cell_angle_beta 90.00
_cell_angle_gamma 90.00
loop_
_space_group_symop_operation_xyz
'x,y,z'
'-x,-y,-z'
'-x,-y,z'
'x,y,-z'
'x,-y,-z'
'-x,y,z'
'-x,y,-z'
'x,-y,z'
loop_
_atom_site_label
_atom_site_type_symbol
_atom_site_fract_x
_atom_site_fract_y
_atom_site_fract_z
As1 As 0.000 0.000 0.000
P1 P 0.500 0.000 0.500
Br1 Br 0.000 0.500 0.500
Br2 Br 0.500 0.500 0.000
```

Computed properties:
* excess energy over the best structure of this formula in the dataset: 0.8045 eV per atom
* total magnetic moment: 0.00 μB/cell
* E_form (uncorrected): 0.6416 eV/atom